NdGaCu2Pt2: optimized geometry, PBE.

Geometry as POSCAR:
```
NdGaCu2Pt2
1.0
5.5633 0.0000 0.0000
0.0000 8.8321 0.0000
0.0000 0.0000 4.1699
Nd Ga Cu Pt
2 2 4 4
Cartesian
0.0000 0.0000 0.0000
2.7817 4.4160 0.0000
0.0000 4.4160 2.0850
2.7817 0.0000 2.0850
0.0000 3.0252 0.0000
0.0000 5.8069 0.0000
2.7817 1.3908 0.0000
2.7817 7.4413 0.0000
1.3908 2.2080 2.0850
1.3908 6.6241 2.0850
4.1725 2.2080 2.0850
4.1725 6.6241 2.0850
```

## Properties
As for the space group: No. 65. As for the raw total energy: -5.221 eV/atom. For the magnetization, the calculation gives 0.005 Bohr magnetons per cell.



Li4Si2AgPd: optimized geometry, PBE.

Geometry as POSCAR:
```
Li4Si2AgPd
1.0
4.2444 0.0000 0.0000
0.0000 4.2444 0.0000
0.0000 0.0000 6.0014
Li Si Ag Pd
4 2 1 1
Cartesian
0.0000 0.0000 0.0000
0.0000 2.1222 4.4795
2.1222 0.0000 1.5219
2.1222 2.1222 3.0007
0.0000 2.1222 1.6167
2.1222 0.0000 4.3847
2.1222 2.1222 0.0000
0.0000 0.0000 3.0007
```

## Properties
As for the space group: No. 115. As for the raw total energy: -3.710 eV/atom.